Ba2Cd6AgPd | GGA-PBE | optimized geometry

Results
Energy of formation from the pure elements ... -218 meV/atom

Geometry as POSCAR:
```
Ba2Cd6AgPd
1.0
-0.797 2.568 -7.039
6.755 -2.816 -1.792
0.687 -4.720 -5.832
Ba Cd Ag Pd
2 6 1 1
Cartesian
5.211 -3.830 -6.020
1.435 -1.139 -8.643
4.890 -1.486 -3.088
5.174 -4.908 -12.481
1.820 -2.449 -5.132
1.069 1.238 -5.743
1.472 -0.061 -2.182
4.826 -2.519 -9.531
2.979 -0.124 -4.415
0.000 0.000 0.000
```

=====

BaCdAg2Pd | GGA-PBE | optimized geometry

Results
E above lowest polymorph ... 16.13 kJ per mole of atoms
Energy of formation from the pure elements ... -126 meV/atom

Geometry as POSCAR:
```
BaCdAg2Pd
1.0
5.280 0.000 0.000
0.000 5.280 0.000
0.000 0.000 5.153
Pd Ba Ag Cd
1 1 2 1
Cartesian
0.000 0.000 0.000
2.640 2.640 2.576
0.000 2.640 0.000
2.640 0.000 0.000
0.000 0.000 2.576
```

=====

Ba2Cd2AgPd5 | GGA-PBE | optimized geometry

Results
Energy of formation from the pure elements ... -274 meV/atom

Geometry as POSCAR:
```
Ba2Cd2AgPd5
1.0
3.783 0.000 0.000
0.000 10.856 0.000
0.000 0.000 10.856
Ba Cd Ag Pd
4 4 2 10
Cartesian
0.000 7.333 1.905
0.000 3.523 8.951
0.000 1.905 3.523
0.000 8.951 7.333
0.000 1.368 6.795
0.000 9.488 4.060
0.000 6.795 9.488
0.000 4.060 1.368
0.000 0.000 0.000
0.000 5.428 5.428
1.891 2.083 0.592
1.891 8.772 10.264
1.891 0.592 8.772
1.891 7.511 4.836
1.891 10.264 2.083
1.891 3.344 6.020
1.891 6.020 7.511
1.891 4.836 3.344
1.891 5.428 0.000
1.891 0.000 5.428
```

=====

BaCdAg2Pd | GGA-PBE | optimized geometry

Results
E above lowest polymorph ... 0.00 kJ per mole of atoms
Energy of formation from the pure elements ... -293 meV/atom

Geometry as POSCAR:
```
BaCdAg2Pd
1.0
-3.091 -0.710 3.119
3.258 -0.799 3.047
0.017 6.797 -1.607
Ba Cd Ag Pd
1 1 2 1
Cartesian
0.088 5.230 1.278
1.669 1.970 2.102
-1.505 2.026 2.141
0.011 0.639 0.156
0.151 3.276 4.068
```

=====

Ba2Cd3Ag12Pd | GGA-PBE | optimized geometry

Results
Energy of formation from the pure elements ... 163 meV/atom

Geometry as POSCAR:
```
Ba2Cd3Ag12Pd
1.0
-1.804 7.537 4.319
-6.712 4.957 -3.015
-7.414 0.273 4.866
Ba Cd Ag Pd
2 3 12 1
Cartesian
-9.667 7.748 3.745
-6.263 5.019 2.426
-0.902 3.768 2.160
-3.356 2.478 -1.507
-3.707 0.136 2.433
-3.156 4.392 0.567
-10.024 10.994 2.841
-12.954 7.200 3.127
-5.000 2.004 0.746
-10.390 8.548 6.957
-3.386 2.853 3.157
-12.775 8.374 5.604
-5.906 1.772 3.329
-2.976 5.567 3.044
-10.931 10.762 5.424
-5.540 4.219 -0.787
-12.544 9.914 3.013
0.000 0.000 0.000
```

=====

BaCdAgPd | GGA-PBE | optimized geometry

Results
Energy of formation from the pure elements ... -387 meV/atom

Geometry as POSCAR:
```
BaCdAgPd
1.0
-2.655 4.011 -0.093
-0.808 -3.494 -3.202
-2.202 -1.327 5.613
Ba Cd Ag Pd
1 1 1 1
Cartesian
-2.927 0.994 1.977
-2.589 -1.604 4.720
-2.896 0.932 -1.573
-3.802 -2.462 2.354
```

=====

Ba2Cd4Ag3Pd | GGA-PBE | optimized geometry

Results
Energy of formation from the pure elements ... -281 meV/atom

Geometry as POSCAR:
```
Ba2Cd4Ag3Pd
1.0
-4.541 -0.322 1.894
-1.650 -1.837 -4.268
2.222 -10.304 3.575
Ba Cd Ag Pd
2 4 3 1
Cartesian
-1.679 -2.903 1.898
0.806 -8.480 0.490
-3.095 -1.079 -1.187
0.000 0.000 0.000
-0.899 -6.519 3.153
0.026 -4.865 -0.765
1.111 -5.152 1.788
-0.343 -9.097 4.048
-0.530 -2.286 -1.659
-1.984 -6.231 0.601
```

=====

Ba2PmCd12Ag3 | GGA-PBE | optimized geometry

Results
Energy of formation from the pure elements ... 34 meV/atom

Geometry as POSCAR:
```
Ba2PmCd12Ag3
1.0
-6.662 -6.874 -3.922
-3.097 -9.286 3.344
-9.167 -3.415 3.363
Ba Pm Cd Ag
2 1 12 3
Cartesian
-11.654 -12.054 1.715
-7.272 -7.522 1.070
0.000 0.000 0.000
-10.081 -6.607 2.752
-12.722 -15.332 1.151
-13.620 -14.093 3.761
-8.503 -8.785 -1.835
-14.897 -13.229 1.158
-6.260 -10.304 2.740
-8.845 -12.968 0.034
-6.204 -4.243 1.635
-5.306 -5.483 -0.975
-10.423 -10.790 4.621
-4.029 -6.347 1.628
-12.667 -9.272 0.046
-3.331 -3.437 -1.961
-1.549 -4.643 1.672
-4.584 -1.707 1.682
```

=====

Taking the records one at a time from the top gives Fermi-level density of states values of 0.628 0.468 0.491 0.198 0.426 0.583 0.569 0.522 states/eV/atom.
Taking the records one at a time from the top gives magnetic moment values of 0.0 0.0 0.0 0.0 0.0 0.0 0.0 0.0 μB per formula unit.